[1]
The following is a DFT calculation (SCAN) of a crystal of EuIn2Se4 relaxed with PBEsol.

- Symmetry: No. 66
- Crystal system: orthorhombic
- Formation energy (no corrections): -1090 meV per atom
- V: 27.25 Å³ per atom

Cell lengths 6.254, 6.254, 10.726 Å; angles 90.00, 90.00, 114.57 degrees
Element x y z (fractional)
Eu 0.000 0.000 0.250
Eu 0.000 0.000 0.750
In 0.273 0.718 0.000
In 0.282 0.727 0.500
In 0.718 0.273 0.500
In 0.727 0.282 0.000
Se 0.000 0.500 0.187
Se 0.000 0.500 0.813
Se 0.149 0.278 0.500
Se 0.278 0.149 0.000
Se 0.500 0.000 0.313
Se 0.500 0.000 0.687
Se 0.722 0.851 0.000
Se 0.851 0.722 0.500

=====

[2]
The following is a DFT calculation (SCAN) of a crystal of Eu4Ir relaxed with PBEsol.

- E_form: -0.354 eV/atom
- Symmetry: No. 141
- Crystal system: tetragonal
- V: 32.45 Å³ per atom

Cell lengths 7.512, 7.512, 7.512 Å; angles 107.09, 107.09, 114.35 degrees
Element x y z (fractional)
Eu 0.198 0.255 0.557
Eu 0.198 0.641 0.943
Eu 0.255 0.198 0.057
Eu 0.359 0.802 0.557
Eu 0.641 0.198 0.443
Eu 0.745 0.802 0.943
Eu 0.802 0.359 0.057
Eu 0.802 0.745 0.443
Ir 0.125 0.875 0.250
Ir 0.875 0.125 0.750

=====

[3]
The following is a DFT calculation (SCAN) of a crystal of Eu2Si4IrPd3 relaxed with PBEsol.

- Symmetry: No. 115
- Crystal system: tetragonal
- Formation energy (no corrections): -893 meV per atom
- V: 17.06 Å³ per atom

Cell lengths 4.109, 4.109, 10.103 Å; angles 90.00, 90.00, 90.00 degrees
Element x y z (fractional)
Eu 0.000 0.500 0.250
Eu 0.500 0.000 0.750
Si 0.000 0.500 0.629
Si 0.000 0.500 0.869
Si 0.500 0.000 0.131
Si 0.500 0.000 0.371
Ir 0.000 0.000 0.500
Pd 0.000 0.000 0.000
Pd 0.500 0.500 0.000
Pd 0.500 0.500 0.500